# 1
This record from the Alexandria database describes an optimized crystal structure of YOsSe. The functional is PBE.

a = 4.365 Å, b = 4.365 Å, c = 3.538 Å
α = 90.00°, β = 90.00°, γ = 120.00°
Fractional positions:
Y 0.333 0.667 0.667
Se 0.667 0.333 0.166
Os 0.000 0.000 0.167

**Symmetry**: P-6m2, No. 187
**Calculated volume**: 19.46 Å³/atom
**Total magnetic moment**: 0.00 μB/atom
**Distance to the lowest polymorph of the same formula**: 0.0 meV/atom


# 2
This record from the Alexandria database describes an optimized crystal structure of K2HgRu. The functional is PBE.

a = 11.756 Å, b = 11.756 Å, c = 11.756 Å
α = 15.74°, β = 15.74°, γ = 15.74°
Fractional positions:
K 0.993 0.993 0.993
K 0.507 0.507 0.507
Hg 0.750 0.750 0.750
Ru 0.250 0.250 0.250

**Total energy**: -0.0783 Ha/atom
**Symmetry**: R-3m, No. 166
**Calculated volume**: 26.04 Å³/atom
**Total magnetic moment**: 0.24 μB/atom


DOS at the Fermi energy, respectively: 0.840; 0.765 states/eV per atom.